An optimized crystal structure of Tl4FeTe. Source: Alexandria, functional PBE-GGA.

Results
Formation energy (no corrections) (eV per atom): 0.580
Energy (eV/atom): -2.93
Calculated volume (A^3/atom): 30.834

Structure (CIF):
```
data_Tl4FeTe
_chemical_formula_sum 'Tl4 Fe1 Te1'
_space_group_name_H-M_alt 'P 1'
_space_group_IT_number 1
_space_group_name_Hall 'P 1'
_cell_length_a 6.396
_cell_length_b 6.396
_cell_length_c 6.396
_cell_angle_alpha 60.00
_cell_angle_beta 60.00
_cell_angle_gamma 60.00
loop_
_atom_site_label
_atom_site_type_symbol
_atom_site_fract_x
_atom_site_fract_y
_atom_site_fract_z
Tl1 Tl 0.375 0.375 0.875
Tl2 Tl 0.375 0.375 0.375
Tl3 Tl 0.875 0.375 0.375
Tl4 Tl 0.375 0.875 0.375
Fe1 Fe 0.750 0.750 0.750
Te1 Te 0.000 0.000 0.000
```


An optimized crystal structure of Tl2FeTe. Source: Alexandria, functional PBE-GGA.

Results
Formation energy (no corrections) (eV per atom): 0.214
Energy (eV/atom): -3.87
Calculated volume (A^3/atom): 26.174

Structure (CIF):
```
data_Tl2FeTe
_chemical_formula_sum 'Tl2 Fe1 Te1'
_space_group_name_H-M_alt 'P 1'
_space_group_IT_number 1
_space_group_name_Hall 'P 1'
_cell_length_a 3.593
_cell_length_b 4.386
_cell_length_c 6.996
_cell_angle_alpha 71.74
_cell_angle_beta 90.00
_cell_angle_gamma 90.00
loop_
_atom_site_label
_atom_site_type_symbol
_atom_site_fract_x
_atom_site_fract_y
_atom_site_fract_z
Tl1 Tl 0.500 0.267 0.340
Tl2 Tl 0.000 0.938 0.001
Te1 Te 0.500 0.575 0.725
Fe1 Fe 0.000 0.720 0.434
```